Density functional theory data (PBE+U) for an optimized crystal structure of LiV3O8.

Computed properties:
total energy	-85.54	eV/cell

Unit cell a=5.5760 b=5.5760 c=5.7420 alpha=90.00 beta=90.00 gamma=120.00
Space group P-3m1 (No. 164)
One atom of each set of equivalent atoms:
Li  0.0000  0.0000  0.0000 x1
V  0.0000  0.0000  0.5000 x1
V  0.3333  0.6667  0.7852 x2
O  0.1558  0.3116  0.6969 x6
O  0.3333  0.6667  0.0694 x2